VASP calculation (PBE) on a relaxed GdTmLuSn crystal.

**Electronic total energy**: -7.009 eV per atom
**SG**: F-43m (216)

Lattice parameters (Å, degrees): 7.5877 7.5877 7.5877 90.00 90.00 90.00
Fractional coordinates of all 16 atoms:
Gd 0.0000 0.0000 0.0000
Gd 0.0000 0.5000 0.5000
Gd 0.5000 0.0000 0.5000
Gd 0.5000 0.5000 0.0000
Tm 0.0000 0.0000 0.5000
Tm 0.0000 0.5000 0.0000
Tm 0.5000 0.0000 0.0000
Tm 0.5000 0.5000 0.5000
Lu 0.2500 0.2500 0.2500
Lu 0.2500 0.7500 0.7500
Lu 0.7500 0.2500 0.7500
Lu 0.7500 0.7500 0.2500
Sn 0.2500 0.2500 0.7500
Sn 0.2500 0.7500 0.2500
Sn 0.7500 0.2500 0.2500
Sn 0.7500 0.7500 0.7500